The following is a PBE-GGA calculation of a relaxed structure of LiCr2W, from Alexandria via LeMat-Bulk.

Lattice parameters (Å, degrees): 2.876 2.876 6.516 90.00 90.00 90.00
Element x y z (fractional)
Li  0.000  0.000  0.000
Cr  0.000  0.000  0.553
Cr  0.500  0.500  0.743
W  0.500  0.500  0.287

Calculated values
N(E_F) (states/eV/atom): 0.509
ΔH_f (0 K) (meV per atom): 482
E above lowest polymorph (meV/atom): 144

The following is a PBE-GGA calculation of a relaxed structure of LiCr2W, from Alexandria via LeMat-Bulk.

Lattice parameters (Å, degrees): 2.471 4.168 5.152 90.00 90.00 90.00
Element x y z (fractional)
Li  0.000  0.000  0.000
Cr  0.000  0.000  0.515
Cr  0.500  0.500  0.752
W  0.500  0.500  0.260

Calculated values
N(E_F) (states/eV/atom): 1.110
ΔH_f (0 K) (meV per atom): 533
E above lowest polymorph (meV/atom): 195

The following is a PBE-GGA calculation of a relaxed structure of LiCr2W, from Alexandria via LeMat-Bulk.

Lattice parameters (Å, degrees): 4.902 4.902 4.902 144.92 128.57 63.78
Element x y z (fractional)
Li  0.000  0.000  0.000
Cr  0.529  0.529  0.000
Cr  0.740  0.240  0.500
W  0.272  0.772  0.500

Calculated values
N(E_F) (states/eV/atom): 0.948
ΔH_f (0 K) (meV per atom): 442
E above lowest polymorph (meV/atom): 105

The following is a PBE-GGA calculation of a relaxed structure of LiCrW, from Alexandria via LeMat-Bulk.

Lattice parameters (Å, degrees): 4.596 4.596 4.596 148.57 125.23 64.53
Element x y z (fractional)
Li  0.000  0.000  0.000
Cr  0.334  0.334  0.000
W  0.667  0.667  0.000

Calculated values
N(E_F) (states/eV/atom): 1.037
ΔH_f (0 K) (meV per atom): 523
E above lowest polymorph (meV/atom): 81

The following is a PBE-GGA calculation of a relaxed structure of LiCr2W, from Alexandria via LeMat-Bulk.

Lattice parameters (Å, degrees): 4.254 4.254 4.254 60.00 60.00 60.00
Element x y z (fractional)
Li  0.000  0.000  0.000
Cr  0.250  0.250  0.250
Cr  0.750  0.750  0.750
W  0.500  0.500  0.500

Calculated values
N(E_F) (states/eV/atom): 0.923
ΔH_f (0 K) (meV per atom): 451
E above lowest polymorph (meV/atom): 113

The following is a PBE-GGA calculation of a relaxed structure of LiCr2W, from Alexandria via LeMat-Bulk.

Lattice parameters (Å, degrees): 3.026 4.088 4.224 90.00 90.00 90.00
Element x y z (fractional)
Li  0.000  0.000  0.000
Cr  0.000  0.500  0.500
Cr  0.500  0.500  0.000
W  0.500  0.000  0.500

Calculated values
N(E_F) (states/eV/atom): 0.776
ΔH_f (0 K) (meV per atom): 498
E above lowest polymorph (meV/atom): 160

The following is a PBE-GGA calculation of a relaxed structure of LiCr2W, from Alexandria via LeMat-Bulk.

Lattice parameters (Å, degrees): 5.286 5.286 5.286 103.17 103.17 122.97
Element x y z (fractional)
Li  0.000  0.000  0.000
Li  0.750  0.250  0.500
Cr  0.115  0.625  0.990
Cr  0.375  0.365  0.490
Cr  0.635  0.125  0.010
Cr  0.875  0.885  0.510
W  0.250  0.750  0.500
W  0.500  0.500  0.000

Calculated values
N(E_F) (states/eV/atom): 1.005
ΔH_f (0 K) (meV per atom): 987
E above lowest polymorph (meV/atom): 649

The following is a PBE-GGA calculation of a relaxed structure of LiCrW2, from Alexandria via LeMat-Bulk.

Lattice parameters (Å, degrees): 3.145 4.298 4.299 90.00 90.00 90.00
Element x y z (fractional)
Li  0.000  0.000  0.000
Cr  0.500  0.000  0.500
W  0.000  0.500  0.500
W  0.500  0.500  0.000

Calculated values
N(E_F) (states/eV/atom): 0.906
ΔH_f (0 K) (meV per atom): 500
E above lowest polymorph (meV/atom): 167

The following is a PBE-GGA calculation of a relaxed structure of LiCrW2, from Alexandria via LeMat-Bulk.

Lattice parameters (Å, degrees): 4.952 4.952 2.584 90.00 90.00 114.55
Element x y z (fractional)
Li  0.000  0.000  0.000
Cr  0.500  0.500  0.000
W  0.000  0.500  0.500
W  0.500  0.000  0.500

Calculated values
N(E_F) (states/eV/atom): 0.603
ΔH_f (0 K) (meV per atom): 531
E above lowest polymorph (meV/atom): 199

The following is a PBE-GGA calculation of a relaxed structure of LiCrW2, from Alexandria via LeMat-Bulk.

Lattice parameters (Å, degrees): 4.639 4.639 5.060 93.37 93.37 32.11
Element x y z (fractional)
Li  0.000  0.000  0.000
Cr  0.253  0.253  0.756
W  0.501  0.501  0.510
W  0.749  0.749  0.239

Calculated values
N(E_F) (states/eV/atom): 0.583
ΔH_f (0 K) (meV per atom): 510
E above lowest polymorph (meV/atom): 178

The following is a PBE-GGA calculation of a relaxed structure of LiCr2W, from Alexandria via LeMat-Bulk.

Lattice parameters (Å, degrees): 4.938 4.938 2.469 90.00 90.00 117.81
Element x y z (fractional)
Li  0.000  0.000  0.000
Cr  0.000  0.500  0.500
Cr  0.500  0.000  0.500
W  0.500  0.500  0.000

Calculated values
N(E_F) (states/eV/atom): 0.447
ΔH_f (0 K) (meV per atom): 525
E above lowest polymorph (meV/atom): 187

The following is a PBE-GGA calculation of a relaxed structure of LiCr2W, from Alexandria via LeMat-Bulk.

Lattice parameters (Å, degrees): 2.602 2.602 8.766 90.00 90.00 111.37
Element x y z (fractional)
Li  0.000  0.000  0.000
Cr  0.000  0.000  0.529
Cr  0.500  0.500  0.736
W  0.500  0.500  0.279

Calculated values
N(E_F) (states/eV/atom): 0.779
ΔH_f (0 K) (meV per atom): 338
E above lowest polymorph (meV/atom): 0

The following is a PBE-GGA calculation of a relaxed structure of LiCrW2, from Alexandria via LeMat-Bulk.

Lattice parameters (Å, degrees): 4.349 4.349 4.349 60.00 60.00 60.00
Element x y z (fractional)
Li  0.000  0.000  0.000
Cr  0.750  0.750  0.750
W  0.250  0.250  0.250
W  0.500  0.500  0.500

Calculated values
N(E_F) (states/eV/atom): 1.187
ΔH_f (0 K) (meV per atom): 493
E above lowest polymorph (meV/atom): 161

The following is a PBE-GGA calculation of a relaxed structure of LiCrW2, from Alexandria via LeMat-Bulk.

Lattice parameters (Å, degrees): 9.611 9.611 9.611 16.35 16.35 16.35
Element x y z (fractional)
Li  0.000  0.000  0.000
Cr  0.500  0.500  0.500
W  0.245  0.245  0.245
W  0.755  0.755  0.755

Calculated values
N(E_F) (states/eV/atom): 1.092
ΔH_f (0 K) (meV per atom): 523
E above lowest polymorph (meV/atom): 191

The following is a PBE-GGA calculation of a relaxed structure of LiCr2W, from Alexandria via LeMat-Bulk.

Lattice parameters (Å, degrees): 4.808 4.808 4.808 143.14 128.53 64.97
Element x y z (fractional)
Li  0.000  0.000  0.000
Cr  0.256  0.756  0.500
Cr  0.744  0.244  0.500
W  0.500  0.500  0.000

Calculated values
N(E_F) (states/eV/atom): 1.164
ΔH_f (0 K) (meV per atom): 502
E above lowest polymorph (meV/atom): 164

The following is a PBE-GGA calculation of a relaxed structure of LiCrW, from Alexandria via LeMat-Bulk.

Lattice parameters (Å, degrees): 4.129 4.129 4.129 60.00 60.00 60.00
Element x y z (fractional)
Li  0.000  0.000  0.000
Cr  0.500  0.500  0.500
W  0.250  0.250  0.250

Calculated values
N(E_F) (states/eV/atom): 0.613
ΔH_f (0 K) (meV per atom): 1371
E above lowest polymorph (meV/atom): 929

The following is a PBE-GGA calculation of a relaxed structure of LiCrW, from Alexandria via LeMat-Bulk.

Lattice parameters (Å, degrees): 4.656 4.656 4.656 140.54 140.54 57.03
Element x y z (fractional)
Li  0.000  0.000  0.000
Cr  0.669  0.669  0.000
W  0.318  0.318  0.000

Calculated values
N(E_F) (states/eV/atom): 0.593
ΔH_f (0 K) (meV per atom): 563
E above lowest polymorph (meV/atom): 120

The following is a PBE-GGA calculation of a relaxed structure of LiCrW2, from Alexandria via LeMat-Bulk.

Lattice parameters (Å, degrees): 5.452 5.452 5.452 103.62 103.62 121.93
Element x y z (fractional)
Li  0.000  0.000  0.000
Li  0.750  0.250  0.500
Cr  0.250  0.750  0.500
Cr  0.500  0.500  0.000
W  0.141  0.625  0.016
W  0.375  0.391  0.516
W  0.609  0.125  0.984
W  0.875  0.859  0.484

Calculated values
N(E_F) (states/eV/atom): 0.879
ΔH_f (0 K) (meV per atom): 1006
E above lowest polymorph (meV/atom): 674

The following is a PBE-GGA calculation of a relaxed structure of LiCr2W, from Alexandria via LeMat-Bulk.

Lattice parameters (Å, degrees): 4.968 4.968 2.518 99.51 99.51 117.59
Element x y z (fractional)
Li  0.000  0.000  0.000
Cr  0.000  0.500  0.500
Cr  0.500  0.000  0.500
W  0.500  0.500  0.000

Calculated values
N(E_F) (states/eV/atom): 1.025
ΔH_f (0 K) (meV per atom): 441
E above lowest polymorph (meV/atom): 103

The following is a PBE-GGA calculation of a relaxed structure of LiCrW2, from Alexandria via LeMat-Bulk.

Lattice parameters (Å, degrees): 3.085 3.085 5.761 90.00 90.00 90.00
Element x y z (fractional)
Li  0.000  0.000  0.000
Cr  0.000  0.000  0.500
W  0.500  0.500  0.252
W  0.500  0.500  0.748

Calculated values
N(E_F) (states/eV/atom): 0.931
ΔH_f (0 K) (meV per atom): 523
E above lowest polymorph (meV/atom): 191